A.
Compound: K2LiYI6
Source: Alexandria
Functional: GGA-PBE
Structure: relaxed

* magnetization: 0.00 Bohr magnetons per cell

```
data_K2LiYI6
_chemical_formula_sum 'K4 Li2 Y2 I12'
_space_group_name_H-M_alt 'P 1 21/c 1'
_space_group_IT_number 14
_cell_length_a 8.142
_cell_length_b 8.555
_cell_length_c 14.105
_cell_angle_alpha 90.00
_cell_angle_beta 124.75
_cell_angle_gamma 90.00
loop_
_space_group_symop_operation_xyz
'x,y,z'
'-x,-y,-z'
'-x,y+1/2,-z+1/2'
'x,-y+1/2,z+1/2'
loop_
_atom_site_label
_atom_site_type_symbol
_atom_site_fract_x
_atom_site_fract_y
_atom_site_fract_z
_atom_site_occupancy
K1 K 0.219 0.084 0.247 1
Li1 Li 0.000 0.000 0.500 1
Y1 Y 0.500 0.000 0.000 1
I1 I 0.144 0.195 0.949 1
I2 I 0.260 0.700 0.951 1
I3 I 0.350 0.018 0.747 1
```

=====

B.
Compound: K2LiYI6
Source: Alexandria
Functional: GGA-PBE
Structure: relaxed

* magnetization: 0.00 Bohr magnetons per cell

```
data_K2LiYI6
_chemical_formula_sum 'K8 Li4 Y4 I24'
_space_group_name_H-M_alt 'F m -3 m'
_space_group_IT_number 225
_space_group_name_Hall '-F 4 2 3'
_cell_length_a 11.958
_cell_length_b 11.958
_cell_length_c 11.958
_cell_angle_alpha 90.00
_cell_angle_beta 90.00
_cell_angle_gamma 90.00
loop_
_atom_site_label
_atom_site_type_symbol
_atom_site_fract_x
_atom_site_fract_y
_atom_site_fract_z
_atom_site_occupancy
K1 K 0.250 0.250 0.250 1
Li1 Li 0.000 0.000 0.000 1
Y1 Y 0.000 0.000 0.500 1
I1 I 0.000 0.000 0.248 1
```

=====

Most stable: A. Least stable: B.

=====

A.
Compound: KMgI2O
Source: Alexandria
Functional: GGA-PBE
Structure: relaxed

* magnetization: 1.34 Bohr magnetons per cell

```
data_KMgI2O
_chemical_formula_sum 'K1 Mg1 I2 O1'
_space_group_name_H-M_alt 'P 4/m m m'
_space_group_IT_number 123
_space_group_name_Hall '-P 4 2'
_cell_length_a 6.322
_cell_length_b 6.322
_cell_length_c 4.628
_cell_angle_alpha 90.00
_cell_angle_beta 90.00
_cell_angle_gamma 90.00
loop_
_atom_site_label
_atom_site_type_symbol
_atom_site_fract_x
_atom_site_fract_y
_atom_site_fract_z
_atom_site_occupancy
K1 K 0.000 0.000 0.000 1
Mg1 Mg 0.500 0.500 0.500 1
I1 I 0.000 0.500 0.000 1
O1 O 0.000 0.000 0.500 1
```

=====

B.
Compound: KMgI2O
Source: Alexandria
Functional: GGA-PBE
Structure: relaxed

* magnetization: 0.70 Bohr magnetons per cell

```
data_KMgI2O
_chemical_formula_sum 'K1 Mg1 I2 O1'
_space_group_name_H-M_alt 'P 4/m m m'
_space_group_IT_number 123
_space_group_name_Hall '-P 4 2'
_cell_length_a 6.274
_cell_length_b 6.274
_cell_length_c 3.806
_cell_angle_alpha 90.00
_cell_angle_beta 90.00
_cell_angle_gamma 90.00
loop_
_atom_site_label
_atom_site_type_symbol
_atom_site_fract_x
_atom_site_fract_y
_atom_site_fract_z
_atom_site_occupancy
K1 K 0.000 0.000 0.000 1
Mg1 Mg 0.500 0.500 0.500 1
I1 I 0.000 0.500 0.500 1
O1 O 0.500 0.500 0.000 1
```

=====

Most stable: B. Least stable: A.

=====

A.
Compound: KMgTe2I
Source: Alexandria
Functional: GGA-PBE
Structure: relaxed

* magnetization: 0.00 Bohr magnetons per cell

```
data_KMgTe2I
_chemical_formula_sum 'K1 Mg1 Te2 I1'
_space_group_name_H-M_alt 'P 4/m m m'
_space_group_IT_number 123
_space_group_name_Hall '-P 4 2'
_cell_length_a 6.106
_cell_length_b 6.106
_cell_length_c 6.161
_cell_angle_alpha 90.00
_cell_angle_beta 90.00
_cell_angle_gamma 90.00
loop_
_atom_site_label
_atom_site_type_symbol
_atom_site_fract_x
_atom_site_fract_y
_atom_site_fract_z
_atom_site_occupancy
K1 K 0.000 0.000 0.000 1
Mg1 Mg 0.500 0.500 0.500 1
Te1 Te 0.000 0.500 0.000 1
I1 I 0.000 0.000 0.500 1
```

=====

B.
Compound: KMgTe2I
Source: Alexandria
Functional: GGA-PBE
Structure: relaxed

* magnetization: 0.00 Bohr magnetons per cell

```
data_KMgTe2I
_chemical_formula_sum 'K1 Mg1 Te2 I1'
_space_group_name_H-M_alt 'P 4/m m m'
_space_group_IT_number 123
_space_group_name_Hall '-P 4 2'
_cell_length_a 5.533
_cell_length_b 5.533
_cell_length_c 6.190
_cell_angle_alpha 90.00
_cell_angle_beta 90.00
_cell_angle_gamma 90.00
loop_
_atom_site_label
_atom_site_type_symbol
_atom_site_fract_x
_atom_site_fract_y
_atom_site_fract_z
_atom_site_occupancy
K1 K 0.000 0.000 0.000 1
Mg1 Mg 0.500 0.500 0.500 1
Te1 Te 0.000 0.500 0.500 1
I1 I 0.500 0.500 0.000 1
```

=====

Most stable: B. Least stable: A.

=====

A.
Compound: K2MgTeI
Source: Alexandria
Functional: GGA-PBE
Structure: relaxed

* magnetization: 0.00 Bohr magnetons per cell

```
data_K2MgTeI
_chemical_formula_sum 'K2 Mg1 Te1 I1'
_space_group_name_H-M_alt 'P 4/m m m'
_space_group_IT_number 123
_space_group_name_Hall '-P 4 2'
_cell_length_a 6.397
_cell_length_b 6.397
_cell_length_c 5.773
_cell_angle_alpha 90.00
_cell_angle_beta 90.00
_cell_angle_gamma 90.00
loop_
_atom_site_label
_atom_site_type_symbol
_atom_site_fract_x
_atom_site_fract_y
_atom_site_fract_z
_atom_site_occupancy
K1 K 0.000 0.500 0.000 1
Mg1 Mg 0.000 0.000 0.500 1
Te1 Te 0.500 0.500 0.500 1
I1 I 0.000 0.000 0.000 1
```

=====

B.
Compound: K2MgTeI
Source: Alexandria
Functional: GGA-PBE
Structure: relaxed

* magnetization: 0.00 Bohr magnetons per cell

```
data_K2MgTeI
_chemical_formula_sum 'K2 Mg1 Te1 I1'
_space_group_name_H-M_alt 'P 4/m m m'
_space_group_IT_number 123
_space_group_name_Hall '-P 4 2'
_cell_length_a 6.799
_cell_length_b 6.799
_cell_length_c 5.403
_cell_angle_alpha 90.00
_cell_angle_beta 90.00
_cell_angle_gamma 90.00
loop_
_atom_site_label
_atom_site_type_symbol
_atom_site_fract_x
_atom_site_fract_y
_atom_site_fract_z
_atom_site_occupancy
K1 K 0.000 0.500 0.000 1
Mg1 Mg 0.000 0.000 0.000 1
Te1 Te 0.500 0.500 0.500 1
I1 I 0.000 0.000 0.500 1
```

=====

Most stable: A. Least stable: B.

=====

A.
Compound: KMnI2
Source: Alexandria
Functional: GGA-PBE
Structure: relaxed

* magnetization: 12.00 Bohr magnetons per cell

```
data_KMnI2
_chemical_formula_sum 'K3 Mn3 I6'
_space_group_name_H-M_alt 'R -3 m'
_space_group_IT_number 166
_space_group_name_Hall '-R 3 2"'
_cell_length_a 5.5601
_cell_length_b 5.5601
_cell_length_c 24.9810
_cell_angle_alpha 90.00
_cell_angle_beta 90.00
_cell_angle_gamma 120.00
loop_
_atom_site_label
_atom_site_type_symbol
_atom_site_fract_x
_atom_site_fract_y
_atom_site_fract_z
_atom_site_occupancy
K1 K 0.0000 0.0000 0.0000 1
Mn1 Mn 0.0000 0.0000 0.5000 1
I1 I 0.0000 0.0000 0.3979 1
```

=====

B.
Compound: KMnI2
Source: Alexandria
Functional: GGA-PBE
Structure: relaxed

* magnetization: 23.79 Bohr magnetons per cell

```
data_KMnI2
_chemical_formula_sum 'K4 Mn4 I8'
_space_group_name_H-M_alt 'F m -3 m'
_space_group_IT_number 225
_space_group_name_Hall '-F 4 2 3'
_cell_length_a 8.284
_cell_length_b 8.284
_cell_length_c 8.284
_cell_angle_alpha 90.00
_cell_angle_beta 90.00
_cell_angle_gamma 90.00
loop_
_atom_site_label
_atom_site_type_symbol
_atom_site_fract_x
_atom_site_fract_y
_atom_site_fract_z
_atom_site_occupancy
K1 K 0.000 0.000 0.000 1
Mn1 Mn 0.000 0.000 0.500 1
I1 I 0.250 0.250 0.250 1
```

=====

C.
Compound: KMnI2
Source: Alexandria
Functional: GGA-PBE
Structure: relaxed

* magnetization: 16.09 Bohr magnetons per cell

```
data_KMnI2
_chemical_formula_sum 'K4 Mn4 I8'
_space_group_name_H-M_alt 'I -4 2 d'
_space_group_IT_number 122
_space_group_name_Hall 'I -4 2bw'
_cell_length_a 8.469
_cell_length_b 8.469
_cell_length_c 8.361
_cell_angle_alpha 90.00
_cell_angle_beta 90.00
_cell_angle_gamma 90.00
loop_
_atom_site_label
_atom_site_type_symbol
_atom_site_fract_x
_atom_site_fract_y
_atom_site_fract_z
_atom_site_occupancy
K1 K 0.000 0.000 0.000 1
Mn1 Mn 0.000 0.000 0.500 1
I1 I 0.167 0.250 0.625 1
```

=====

Most stable: C. Least stable: B.

=====

A.
Compound: KMn2I
Source: Alexandria
Functional: GGA-PBE
Structure: relaxed

* magnetization: 0.00 Bohr magnetons per cell

```
data_KMn2I
_chemical_formula_sum 'K4 Mn8 I4'
_space_group_name_H-M_alt 'F m -3 m'
_space_group_IT_number 225
_space_group_name_Hall '-F 4 2 3'
_cell_length_a 6.506
_cell_length_b 6.506
_cell_length_c 6.506
_cell_angle_alpha 90.00
_cell_angle_beta 90.00
_cell_angle_gamma 90.00
loop_
_atom_site_label
_atom_site_type_symbol
_atom_site_fract_x
_atom_site_fract_y
_atom_site_fract_z
_atom_site_occupancy
K1 K 0.000 0.000 0.000 1
Mn1 Mn 0.250 0.250 0.250 1
I1 I 0.000 0.000 0.500 1
```

=====

B.
Compound: KMn2I
Source: Alexandria
Functional: GGA-PBE
Structure: relaxed

* magnetization: 31.64 Bohr magnetons per cell

```
data_KMn2I
_chemical_formula_sum 'K4 Mn8 I4'
_space_group_name_H-M_alt 'I 41/a m d'
_space_group_IT_number 141
_cell_length_a 5.058
_cell_length_b 5.058
_cell_length_c 21.236
_cell_angle_alpha 90.00
_cell_angle_beta 90.00
_cell_angle_gamma 90.00
loop_
_space_group_symop_operation_xyz
'x,y,z'
'-x,-y,-z'
'-y+1/4,x+3/4,z+1/4'
'y+1/4,-x+3/4,-z+1/4'
'-x+1/2,-y,z+1/2'
'x+1/2,y,-z+1/2'
'y+1/4,-x+1/4,z+3/4'
'-y+1/4,x+1/4,-z+3/4'
'x,-y,-z'
'-x,y,z'
'-y+1/4,-x+1/4,-z+3/4'
'y+1/4,x+1/4,z+3/4'
'-x+1/2,y,-z+1/2'
'x+1/2,-y,z+1/2'
'y+1/4,x+3/4,-z+1/4'
'-y+1/4,-x+3/4,z+1/4'
'x+1/2,y+1/2,z+1/2'
'-x+1/2,-y+1/2,-z+1/2'
'-y+3/4,x+1/4,z+3/4'
'y+3/4,-x+1/4,-z+3/4'
'-x,-y+1/2,z'
'x,y+1/2,-z'
'y+3/4,-x+3/4,z+1/4'
'-y+3/4,x+3/4,-z+1/4'
'x+1/2,-y+1/2,-z+1/2'
'-x+1/2,y+1/2,z+1/2'
'-y+3/4,-x+3/4,-z+1/4'
'y+3/4,x+3/4,z+1/4'
'-x,y+1/2,-z'
'x,-y+1/2,z'
'y+3/4,x+1/4,-z+3/4'
'-y+3/4,-x+1/4,z+3/4'
loop_
_atom_site_label
_atom_site_type_symbol
_atom_site_fract_x
_atom_site_fract_y
_atom_site_fract_z
_atom_site_occupancy
K1 K 0.000 0.250 0.375 1
Mn1 Mn 0.000 0.000 0.000 1
I1 I 0.000 0.250 0.875 1
```

=====

Most stable: B. Least stable: A.